*P*
Density functional theory data (GGA-PBE) for a relaxed structure of AcThCu4.

abc: 4.3451 7.6013 7.6657
angles: 90.00 90.00 90.00
With the nearest neighbours (Å) after each atom.
Space group Immm (No. 71)
Asymmetric unit:
Ac  0.0000  0.0000  0.0000  12 Cu 3.13-3.21
Th  0.0000  0.0000  0.5000  12 Cu 3.11-3.24
Cu  0.0000  0.3342  0.2385  3 Cu 2.52-2.53

*Q*
Density functional theory data (GGA-PBE) for a relaxed structure of AcThCu4.

abc: 7.7336 7.7336 7.7336
angles: 90.00 90.00 90.00
With the nearest neighbours (Å) after each atom.
Space group F-43m (No. 216)
Asymmetric unit:
Ac  0.0000  0.0000  0.0000  12 Cu 3.21, 4 Th 3.35
Th  0.2500  0.2500  0.2500  12 Cu 3.20, 4 Ac 3.35
Cu  0.1234  0.1234  0.6234  6 Cu 2.70-2.77

*P* has the most favorable energy; the next structure is 218 meV/atom above.